DFT (PBE-GGA) results for a relaxed structure of CeEuIn2.

Structure (extended XYZ):
```
4
Lattice="-4.464 -1.085 -0.195 1.180 -4.881 0.134 -0.238 0.080 5.017" Properties=species:S:1:pos:R:3 pbc="T T T"
In -0.119 0.040 2.508
Eu -1.761 -2.943 2.478
Ce -2.232 -0.542 -0.097
In 0.590 -2.440 0.067
```

Computed properties:
energy above the lowest structure with this stoichiometry: 0.017 eV per atom
mass density: 7.468 g/cm³